{"formula": "AlRe3W", "functional": "GGA-PBE", "state": "optimized geometry", "cell": [[4.728, 0.000, 0.000], [0.000, 4.728, 0.000], [0.000, 0.000, 4.728]], "species": ["Al", "Re", "Re", "Re", "W"], "frac_coords": [[0.000, 0.000, 0.000], [0.000, 0.500, 0.500], [0.500, 0.000, 0.500], [0.500, 0.500, 0.000], [0.500, 0.500, 0.500]], "formation_energy_ev_per_atom": 2.215, "de_polymorph_mev_per_atom": 548, "dos_ef_per_ev_cell": 5.012}

---

{"formula": "IrW", "functional": "GGA-PBE", "state": "optimized geometry", "cell": [[5.248, 0.000, 0.000], [0.000, 5.248, 0.000], [0.000, 0.000, 5.029]], "species": ["Ir", "Ir", "Ir", "Ir", "W", "W", "W", "W"], "frac_coords": [[0.188, 0.188, 0.000], [0.312, 0.688, 0.500], [0.688, 0.312, 0.500], [0.812, 0.812, 0.000], [0.177, 0.177, 0.500], [0.323, 0.677, 0.000], [0.677, 0.323, 0.000], [0.823, 0.823, 0.500]], "formation_energy_ev_per_atom": 0.680, "de_polymorph_mev_per_atom": 981, "dos_ef_per_ev_cell": 8.014}

---

{"formula": "Er3AlHg", "functional": "GGA-PBE", "state": "optimized geometry", "cell": [[7.641, 0.000, 0.000], [0.000, 9.096, 0.000], [0.000, 0.000, 8.007]], "species": ["Er", "Er", "Er", "Er", "Er", "Er", "Er", "Er", "Er", "Er", "Er", "Er", "Al", "Al", "Al", "Al", "Hg", "Hg", "Hg", "Hg"], "frac_coords": [[0.100, 0.250, 0.240], [0.156, 0.063, 0.838], [0.156, 0.437, 0.838], [0.344, 0.563, 0.338], [0.344, 0.937, 0.338], [0.400, 0.750, 0.740], [0.600, 0.250, 0.260], [0.656, 0.063, 0.662], [0.656, 0.437, 0.662], [0.844, 0.563, 0.162], [0.844, 0.937, 0.162], [0.900, 0.750, 0.760], [0.159, 0.750, 0.047], [0.341, 0.250, 0.547], [0.659, 0.750, 0.453], [0.841, 0.250, 0.953], [0.000, 0.000, 0.500], [0.000, 0.500, 0.500], [0.500, 0.000, 0.000], [0.500, 0.500, 0.000]], "formation_energy_ev_per_atom": -0.159, "de_polymorph_mev_per_atom": 154, "dos_ef_per_ev_cell": 20.154}

---

{"formula": "BaTaAu2", "functional": "GGA-PBE", "state": "optimized geometry", "cell": [[3.407, 0.000, 0.000], [0.000, 3.407, 0.000], [0.000, 0.000, 8.067]], "species": ["Ba", "Ta", "Au", "Au"], "frac_coords": [[0.000, 0.000, 0.000], [0.000, 0.000, 0.500], [0.500, 0.500, 0.310], [0.500, 0.500, 0.690]], "formation_energy_ev_per_atom": -0.030, "de_polymorph_mev_per_atom": 83, "dos_ef_per_ev_cell": 3.484}

---

{"formula": "Pm2DyI", "functional": "GGA-PBE", "state": "optimized geometry", "cell": [[3.688, 0.000, 0.000], [0.000, 3.688, 0.000], [0.000, 0.000, 9.675]], "species": ["Pm", "Pm", "Dy", "I"], "frac_coords": [[0.000, 0.000, 0.243], [0.000, 0.000, 0.757], [0.500, 0.500, 0.500], [0.500, 0.500, 0.000]], "raw_formation_energy_mev_per_atom": -334, "de_polymorph_mev_per_atom": 63, "dos_ef_per_ev_cell": 3.841}

---

{"formula": "KAsPb", "functional": "GGA-PBE", "state": "optimized geometry", "cell": [[3.872, 0.000, 0.000], [0.000, 3.872, 0.000], [0.000, 0.000, 12.487]], "species": ["K", "K", "As", "As", "Pb", "Pb"], "frac_coords": [[0.000, 0.000, 0.000], [0.500, 0.500, 0.500], [0.000, 0.000, 0.686], [0.500, 0.500, 0.186], [0.000, 0.000, 0.284], [0.500, 0.500, 0.784]], "formation_energy_ev_per_atom": -0.199, "dos_ef_per_ev_cell": 3.388}